#1
Entry from the Alexandria database: an optimized crystal structure of Li2TaNi (GGA-PBE).

Cell lengths 5.280, 5.280, 2.597 Å; angles 90.00, 90.00, 124.65 degrees
Sites, in units of the cell vectors:
Li (0.000, 0.000, 0.000)
Li (0.500, 0.500, 0.000)
Ni (0.500, 0.000, 0.500)
Ta (0.000, 0.500, 0.500)

***

#2
Entry from the Alexandria database: an optimized crystal structure of Li2TaNi (GGA-PBE).

Cell lengths 2.618, 2.618, 8.582 Å; angles 90.00, 90.00, 90.00 degrees
Sites, in units of the cell vectors:
Li (0.000, 0.000, 0.040)
Li (0.000, 0.000, 0.460)
Ni (0.500, 0.500, 0.250)
Ta (0.500, 0.500, 0.750)

***

Which is most stable, and by how much? #2, by 8 meV per atom.